(1)
The following is a PBE-GGA calculation of crystalline Na4InPb7 at its relaxed geometry, from Alexandria via LeMat-Bulk.

E_tot = -2.888 eV per atom
symmetry = P-1

```
data_Na4InPb7
_space_group_name_H-M_alt 'P 1'
_space_group_IT_number 1
_cell_length_a 6.3136
_cell_length_b 5.6936
_cell_length_c 11.0927
_cell_angle_alpha 100.25
_cell_angle_beta 77.97
_cell_angle_gamma 85.12
loop_
_space_group_symop_operation_xyz
'x,y,z'
loop_
_atom_site_label
_atom_site_fract_x
_atom_site_fract_y
_atom_site_fract_z
Na1 0.6124 0.5136 0.2116
Na2 0.3876 0.4864 0.7884
Na3 0.7789 0.9023 0.7069
Na4 0.2211 0.0977 0.2931
In1 0.0000 0.0000 0.0000
Pb1 0.8334 0.4636 0.9010
Pb2 0.1666 0.5364 0.0990
Pb3 0.0630 0.3261 0.6024
Pb4 0.9370 0.6739 0.3976
Pb5 0.3536 0.7722 0.5283
Pb6 0.5000 0.0000 0.0000
Pb7 0.6464 0.2278 0.4717
```

(2)
The following is a PBE-GGA calculation of crystalline Na2In3Pb2 at its relaxed geometry, from Alexandria via LeMat-Bulk.

E_tot = -2.656 eV per atom
symmetry = P2/m

```
data_Na2In3Pb2
_space_group_name_H-M_alt 'P 1'
_space_group_IT_number 1
_cell_length_a 5.3702
_cell_length_b 3.2759
_cell_length_c 11.7806
_cell_angle_alpha 90.00
_cell_angle_beta 103.17
_cell_angle_gamma 90.00
loop_
_space_group_symop_operation_xyz
'x,y,z'
loop_
_atom_site_label
_atom_site_fract_x
_atom_site_fract_y
_atom_site_fract_z
Na1 0.4257 0.5000 0.8498
Na2 0.5743 0.5000 0.1502
In1 0.2873 0.0000 0.5737
In2 0.0000 0.0000 0.0000
In3 0.7127 0.0000 0.4263
Pb1 0.1372 0.0000 0.2780
Pb2 0.8628 0.0000 0.7220
```

(3)
The following is a PBE-GGA calculation of crystalline Na4In4Pb5 at its relaxed geometry, from Alexandria via LeMat-Bulk.

E_tot = -2.725 eV per atom
symmetry = I4/m

```
data_Na4In4Pb5
_space_group_name_H-M_alt 'P 1'
_space_group_IT_number 1
_cell_length_a 4.9282
_cell_length_b 9.1555
_cell_length_c 9.1555
_cell_angle_alpha 85.85
_cell_angle_beta 74.39
_cell_angle_gamma 74.39
loop_
_space_group_symop_operation_xyz
'x,y,z'
loop_
_atom_site_label
_atom_site_fract_x
_atom_site_fract_y
_atom_site_fract_z
Na1 0.9117 0.4629 0.7137
Na2 0.6254 0.2863 0.4629
Na3 0.0883 0.5371 0.2863
Na4 0.3746 0.7137 0.5371
In1 0.7677 0.3788 0.0858
In2 0.2323 0.6212 0.9142
In3 0.8535 0.9142 0.3788
In4 0.1465 0.0858 0.6212
Pb1 0.6914 0.8574 0.7598
Pb2 0.3086 0.1426 0.2402
Pb3 0.0000 0.0000 0.0000
Pb4 0.5488 0.7598 0.1426
Pb5 0.4512 0.2402 0.8574
```

(4)
The following is a PBE-GGA calculation of crystalline Na3In4Pb8 at its relaxed geometry, from Alexandria via LeMat-Bulk.

E_tot = -2.939 eV per atom
symmetry = C2/m

```
data_Na3In4Pb8
_space_group_name_H-M_alt 'P 1'
_space_group_IT_number 1
_cell_length_a 12.0965
_cell_length_b 9.3029
_cell_length_c 9.3029
_cell_angle_alpha 81.20
_cell_angle_beta 132.54
_cell_angle_gamma 132.54
loop_
_space_group_symop_operation_xyz
'x,y,z'
loop_
_atom_site_label
_atom_site_fract_x
_atom_site_fract_y
_atom_site_fract_z
Na1 0.5000 0.5000 0.0000
Na2 0.5000 0.0000 0.5000
Na3 0.5000 0.5000 0.5000
In1 0.5000 0.0000 0.0000
In2 0.0000 0.5000 0.0000
In3 0.0000 0.0000 0.0000
In4 0.0000 0.0000 0.5000
Pb1 0.1803 0.9354 0.9354
Pb2 0.0000 0.7351 0.2649
Pb3 0.1804 0.5350 0.5350
Pb4 0.5000 0.7515 0.2485
Pb5 0.5000 0.2485 0.7515
Pb6 0.8196 0.4650 0.4650
Pb7 0.0000 0.2649 0.7351
Pb8 0.8197 0.0646 0.0646
```